Record 1
# NaSrPrTe3

An optimized crystal structure of NaSrPrTe3 (PBE, the Open Quantum Materials Database).

extended XYZ file:
```
24
Lattice="11.8953 0.0000 0.0000 0.0000 4.6429 0.0000 0.0000 0.0000 14.9981" Properties=species:S:1:pos:R:3 pbc="T T T"
Na 2.7607 1.1607 3.5114
Na 3.1869 3.4821 11.0104
Na 8.7084 1.1607 3.9876
Na 9.1345 3.4821 11.4867
Sr 2.6280 3.4821 0.1173
Sr 3.3196 1.1607 7.6163
Sr 8.5757 3.4821 7.3818
Sr 9.2673 1.1607 14.8808
Pr 0.2246 1.1607 11.1266
Pr 5.7230 3.4821 3.6275
Pr 6.1722 1.1607 11.3705
Pr 11.6707 3.4821 3.8715
Te 0.4689 1.1607 1.6661
Te 0.9839 3.4821 9.0588
Te 2.8073 3.4821 5.2494
Te 3.1404 1.1607 12.7485
Te 4.9637 1.1607 1.5597
Te 5.4788 3.4821 9.1651
Te 6.4165 1.1607 5.8329
Te 6.9316 3.4821 13.4383
Te 8.7549 3.4821 2.2496
Te 9.0880 1.1607 9.7486
Te 10.9113 1.1607 5.9393
Te 11.4264 3.4821 13.3320
```

Output
As for the symmetry: Pnma, No. 62. For the total energy, the calculation gives -4.19 eV per atom. Its energy above the most stable polymorph in this dataset is 0 meV/atom. The value obtained for the density is 5.087 g cm⁻³.

***

Record 2
# NaPrTe

An optimized crystal structure of NaPrTe (PBE, the Open Quantum Materials Database).

extended XYZ file:
```
3
Lattice="0.0000 3.6834 3.6834 3.6834 0.0000 3.6834 3.6834 3.6834 0.0000" Properties=species:S:1:pos:R:3 pbc="T T T"
Na 0.0000 0.0000 0.0000
Pr 3.6834 3.6834 3.6834
Te 1.8417 1.8417 1.8417
```

Output
As for the symmetry: F-43m, No. 216. For the total energy, the calculation gives -3.66 eV per atom. Its energy above the most stable polymorph in this dataset is 0 meV/atom. The value obtained for the density is 4.843 g cm⁻³.